Compound: MgNpOs2
Source: Alexandria via LeMat-Bulk
Functional: PBE-GGA
Structure: optimized geometry

extended XYZ file:
```
4
Lattice="-1.3545 -3.1510 0.9545 2.4387 0.0477 3.6183 -3.2153 2.0305 2.1403" Properties=species:S:1:pos:R:3 pbc="T T T"
Os 1.2194 0.0239 1.8092
Os -1.6076 1.0153 1.0702
Np -0.6773 -1.5755 0.4773
Mg -1.0655 -0.5364 3.3566
```

Output
**E**: -9.1353 eV/atom